A relaxed structure of Rb3IrRh3O8, computed with PBE.

Results
DFT total energy ... -5.847 eV/atom
Magnetization ... 0.011 μB/f.u.

abc: 6.4567 6.4573 7.2057
angles: 116.63 90.00 120.00
Last column: nearest neighbours and their distance in Å.
Positions (direct):
Ir1 0.0000 0.0000 0.5000  6 O 2.08
O1 0.7836 0.0643 0.3478  1 Ir 2.08, 2 Rh 2.09
O2 0.2806 0.0643 0.3478  1 Ir 2.08, 2 Rh 2.09
O3 0.7194 0.9357 0.6522  1 Ir 2.08, 2 Rh 2.09
O4 0.2814 0.5627 0.3441  3 Rh 2.10
O5 0.7186 0.4373 0.6559  3 Rh 2.10
O6 0.7835 0.5669 0.3478  1 Ir 2.08, 2 Rh 2.09
O7 0.2164 0.9357 0.6522  1 Ir 2.08, 2 Rh 2.09
O8 0.2165 0.4331 0.6522  1 Ir 2.08, 2 Rh 2.09
Rh1 0.0000 0.5000 0.5000  6 O 2.09-2.10
Rh2 0.5000 0.5000 0.5000  6 O 2.09-2.10
Rh3 0.5000 0.0000 0.5000  6 O 2.09-2.10
Rb1 0.0000 0.0000 0.0000  6 O 2.82-2.84
Rb2 0.5000 0.5000 0.0000  6 O 2.82-2.84
Rb3 0.0000 0.5000 0.0000  6 O 2.82-2.84

=====

A relaxed structure of KRePt, computed with PBE.

Results
Magnetization ... 0.495 μB/f.u.
Energy of formation ... 0.68 eV/atom

abc: 7.6603 7.6603 7.6603
angles: 158.22 158.22 30.99
Last column: nearest neighbours and their distance in Å.
Positions (direct):
Pt1 0.3087 0.3087 0.0000  4 Re 2.63, 4 Pt 2.89
K1 0.9947 0.9947 0.0000  4 K 2.89
Re1 0.6966 0.6966 0.0000  4 Pt 2.63, 4 Re 2.89

=====

A relaxed structure of BaSrNb2, computed with PBE.

Results
Magnetization ... 2.011 μB/f.u.
Energy of formation ... 1.55 eV/atom

abc: 8.9551 8.9551 7.0129
angles: 50.32 50.32 90.00
Last column: nearest neighbours and their distance in Å.
Positions (direct):
Sr1 0.5000 0.5000 0.0000  2 Ba 3.01, 4 Nb 3.26
Sr2 0.2500 0.7500 0.5000  2 Ba 3.01, 4 Nb 3.26
Nb1 0.3750 0.3741 0.7500  2 Nb 3.01, 2 Ba 3.25, 2 Sr 3.26
Nb2 0.1241 0.6250 0.2500  2 Nb 3.01, 2 Ba 3.25, 2 Sr 3.26
Nb3 0.8750 0.8759 0.7500  2 Nb 3.01, 2 Ba 3.25, 2 Sr 3.26
Nb4 0.6259 0.1250 0.2500  2 Nb 3.01, 2 Ba 3.25, 2 Sr 3.26
Ba1 0.7500 0.2500 0.5000  2 Sr 3.01, 4 Nb 3.25
Ba2 0.0000 0.0000 0.0000  2 Sr 3.01, 4 Nb 3.25

=====

Which formula does entry 1 have?
Rb3IrRh3O8

=====

What is the formula in the second record?
KRePt